Here is a crystal of NbRuI2O relaxed with PBEsol from the Alexandria database. Energies are from meta-GGA SCAN.

POSCAR file:
```
NbRuI2O
1.0
5.448 0.000 0.000
0.000 5.448 0.000
0.000 0.000 3.630
Nb Ru I O
1 1 2 1
Cartesian
0.000 0.000 0.000
2.724 2.724 1.815
0.000 2.724 1.815
2.724 0.000 1.815
2.724 2.724 0.000
```

Summary:
E_form (uncorrected): 225 meV per atom
DFT total energy: -146.54 eV/f.u.
SG: P4/mmm (123)